Entry 1:
Li7AgHg4: optimized geometry, GGA-PBE.

a b c (Å): 7.057 7.057 8.109
angles (deg): 118.13 118.13 41.09
Fractional positions:
1 Li 0.000 0.000 0.000
2 Li 0.268 0.268 0.735
3 Li 0.306 0.306 0.123
4 Li 0.428 0.428 0.592
5 Li 0.572 0.572 0.408
6 Li 0.694 0.694 0.877
7 Li 0.732 0.732 0.265
8 Ag 0.500 0.500 0.000
9 Hg 0.067 0.067 0.727
10 Hg 0.186 0.186 0.348
11 Hg 0.814 0.814 0.652
12 Hg 0.933 0.933 0.273

Output
Total energy in eV/atom: -1.67
Space-group type: C2/m, No. 12
Fermi-level density of states in states/eV per atom: 0.372
Magnetization in μB per atom: 0.000

Entry 2:
LiAg5Hg2: optimized geometry, GGA-PBE.

a b c (Å): 5.172 11.951 9.758
angles (deg): 90.00 99.15 90.00
Fractional positions:
1 Li 0.125 0.191 0.125
2 Li 0.125 0.309 0.625
3 Li 0.875 0.691 0.375
4 Li 0.875 0.809 0.875
5 Ag 0.125 0.686 0.126
6 Ag 0.125 0.814 0.626
7 Ag 0.127 0.067 0.625
8 Ag 0.127 0.433 0.125
9 Ag 0.374 0.187 0.876
10 Ag 0.374 0.313 0.376
11 Ag 0.375 0.695 0.875
12 Ag 0.375 0.805 0.375
13 Ag 0.377 0.563 0.375
14 Ag 0.377 0.937 0.875
15 Ag 0.623 0.063 0.125
16 Ag 0.623 0.437 0.625
17 Ag 0.625 0.195 0.625
18 Ag 0.625 0.305 0.125
19 Ag 0.626 0.687 0.624
20 Ag 0.626 0.813 0.124
21 Ag 0.873 0.567 0.875
22 Ag 0.873 0.933 0.375
23 Ag 0.875 0.186 0.374
24 Ag 0.875 0.314 0.874
25 Hg 0.121 0.570 0.622
26 Hg 0.121 0.930 0.122
27 Hg 0.369 0.069 0.372
28 Hg 0.369 0.431 0.872
29 Hg 0.631 0.569 0.128
30 Hg 0.631 0.931 0.628
31 Hg 0.879 0.070 0.878
32 Hg 0.879 0.430 0.378

Output
Total energy in eV/atom: -2.15
Space-group type: P2_1/c, No. 14
Fermi-level density of states in states/eV per atom: 0.230
Distance to the lowest polymorph of the same formula in kcal/mol of atoms: 0.40
Magnetization in μB per atom: 0.000

Entry 3:
LiAg2Hg: optimized geometry, GGA-PBE.

a b c (Å): 5.130 5.130 5.052
angles (deg): 100.52 100.52 34.05
Fractional positions:
1 Li 0.000 0.000 0.000
2 Ag 0.255 0.255 0.760
3 Ag 0.745 0.745 0.240
4 Hg 0.500 0.500 0.500

Output
Total energy in eV/atom: -2.11
Space-group type: C2/m, No. 12
Fermi-level density of states in states/eV per atom: 0.248
Magnetization in μB per atom: 0.000

Entry 4:
Li4Ag3Hg2: optimized geometry, GGA-PBE.

a b c (Å): 7.066 7.066 5.186
angles (deg): 106.17 106.17 39.33
Fractional positions:
1 Li 0.051 0.051 0.266
2 Li 0.276 0.276 0.370
3 Li 0.724 0.724 0.630
4 Li 0.949 0.949 0.734
5 Ag 0.389 0.389 0.919
6 Ag 0.500 0.500 0.500
7 Ag 0.611 0.611 0.081
8 Hg 0.161 0.161 0.804
9 Hg 0.839 0.839 0.196

Output
Total energy in eV/atom: -2.09
Space-group type: C2/m, No. 12
Fermi-level density of states in states/eV per atom: 0.322
Distance to the lowest polymorph of the same formula in kcal/mol of atoms: 0.58
Magnetization in μB per atom: 0.000

Entry 5:
Li2Ag4Hg3: optimized geometry, GGA-PBE.

a b c (Å): 5.264 5.264 9.136
angles (deg): 109.30 109.30 45.36
Fractional positions:
1 Li 0.169 0.169 0.219
2 Li 0.831 0.831 0.781
3 Ag 0.166 0.166 0.892
4 Ag 0.498 0.498 0.674
5 Ag 0.502 0.502 0.326
6 Ag 0.834 0.834 0.108
7 Hg 0.172 0.172 0.571
8 Hg 0.500 0.500 0.000
9 Hg 0.828 0.828 0.429

Output
Total energy in eV/atom: -1.93
Space-group type: C2/m, No. 12
Fermi-level density of states in states/eV per atom: 0.268
Magnetization in μB per atom: 0.000

Entry 6:
Li2Ag2Hg: optimized geometry, GGA-PBE.

a b c (Å): 5.413 5.413 5.413
angles (deg): 124.83 124.83 81.83
Fractional positions:
1 Li 0.250 0.750 0.500
2 Li 0.750 0.250 0.500
3 Ag 0.160 0.160 0.000
4 Ag 0.840 0.840 0.000
5 Hg 0.500 0.500 0.000

Output
Total energy in eV/atom: -1.98
Space-group type: I4/mmm, No. 139
Fermi-level density of states in states/eV per atom: 0.407
Distance to the lowest polymorph of the same formula in kcal/mol of atoms: 5.39
Magnetization in μB per atom: 0.000

Question: The lowest total energy belongs to which entry?
Answer: LiAg5Hg2

Question: Fermi-level density of states of number 3 (LiAg2Hg)?
Answer: 0.248 states/eV per atom

Question: Look up the magnetization of the fifth one.
Answer: 0.000 μB per atom

Question: What is the formula in the second record?
Answer: LiAg5Hg2